Entry 1:
Entry from Alexandria via LeMat-Bulk: EuLuCuPd after structural relaxation (GGA-PBE).

Cell lengths 7.037, 7.037, 7.037 Å; angles 90.00, 90.00, 90.00 degrees
Fractional coordinates of all 16 atoms:
Eu  0.000  0.000  0.000
Eu  0.000  0.500  0.500
Eu  0.500  0.000  0.500
Eu  0.500  0.500  0.000
Lu  0.000  0.000  0.500
Lu  0.000  0.500  0.000
Lu  0.500  0.000  0.000
Lu  0.500  0.500  0.500
Cu  0.250  0.250  0.750
Cu  0.250  0.750  0.250
Cu  0.750  0.250  0.250
Cu  0.750  0.750  0.750
Pd  0.250  0.250  0.250
Pd  0.250  0.750  0.750
Pd  0.750  0.250  0.750
Pd  0.750  0.750  0.250

Output
calculated formation energy = -442 meV/atom
symmetry = F-43m

Entry 2:
Entry from Alexandria via LeMat-Bulk: EuLuCuRh after structural relaxation (GGA-PBE).

Cell lengths 6.925, 6.925, 6.925 Å; angles 90.00, 90.00, 90.00 degrees
Fractional coordinates of all 16 atoms:
Eu  0.000  0.000  0.000
Eu  0.000  0.500  0.500
Eu  0.500  0.000  0.500
Eu  0.500  0.500  0.000
Lu  0.000  0.000  0.500
Lu  0.000  0.500  0.000
Lu  0.500  0.000  0.000
Lu  0.500  0.500  0.500
Cu  0.250  0.250  0.250
Cu  0.250  0.750  0.750
Cu  0.750  0.250  0.750
Cu  0.750  0.750  0.250
Rh  0.250  0.250  0.750
Rh  0.250  0.750  0.250
Rh  0.750  0.250  0.250
Rh  0.750  0.750  0.750

Output
calculated formation energy = -401 meV/atom
symmetry = F-43m

Entry 3:
Entry from Alexandria via LeMat-Bulk: EuLuCuSi after structural relaxation (GGA-PBE).

Cell lengths 7.039, 7.039, 7.039 Å; angles 90.00, 90.00, 90.00 degrees
Fractional coordinates of all 16 atoms:
Eu  0.000  0.000  0.000
Eu  0.000  0.500  0.500
Eu  0.500  0.000  0.500
Eu  0.500  0.500  0.000
Lu  0.000  0.000  0.500
Lu  0.000  0.500  0.000
Lu  0.500  0.000  0.000
Lu  0.500  0.500  0.500
Cu  0.250  0.250  0.750
Cu  0.250  0.750  0.250
Cu  0.750  0.250  0.250
Cu  0.750  0.750  0.750
Si  0.250  0.250  0.250
Si  0.250  0.750  0.750
Si  0.750  0.250  0.750
Si  0.750  0.750  0.250

Output
formation energy (no corrections) = -349 meV per atom
symmetry = F-43m

Entry 4:
Entry from Alexandria via LeMat-Bulk: EuLuTlCu after structural relaxation (GGA-PBE).

Cell lengths 7.404, 7.404, 7.404 Å; angles 90.00, 90.00, 90.00 degrees
Fractional coordinates of all 16 atoms:
Eu  0.000  0.000  0.000
Eu  0.000  0.500  0.500
Eu  0.500  0.000  0.500
Eu  0.500  0.500  0.000
Lu  0.000  0.000  0.500
Lu  0.000  0.500  0.000
Lu  0.500  0.000  0.000
Lu  0.500  0.500  0.500
Tl  0.250  0.250  0.250
Tl  0.250  0.750  0.750
Tl  0.750  0.250  0.750
Tl  0.750  0.750  0.250
Cu  0.250  0.250  0.750
Cu  0.250  0.750  0.250
Cu  0.750  0.250  0.250
Cu  0.750  0.750  0.750

Output
calculated formation energy = -180 meV/atom
symmetry = F-43m

Entry 5:
Entry from Alexandria via LeMat-Bulk: EuLuZnCu after structural relaxation (GGA-PBE).

Cell lengths 7.115, 7.115, 7.115 Å; angles 90.00, 90.00, 90.00 degrees
Fractional coordinates of all 16 atoms:
Eu  0.000  0.000  0.000
Eu  0.000  0.500  0.500
Eu  0.500  0.000  0.500
Eu  0.500  0.500  0.000
Lu  0.000  0.000  0.500
Lu  0.000  0.500  0.000
Lu  0.500  0.000  0.000
Lu  0.500  0.500  0.500
Zn  0.250  0.250  0.250
Zn  0.250  0.750  0.750
Zn  0.750  0.250  0.750
Zn  0.750  0.750  0.250
Cu  0.250  0.250  0.750
Cu  0.250  0.750  0.250
Cu  0.750  0.250  0.250
Cu  0.750  0.750  0.750

Output
calculated formation energy = -189 meV/atom
symmetry = F-43m

Entry 6:
Entry from Alexandria via LeMat-Bulk: EuMg2Cu9 after structural relaxation (GGA-PBE).

Cell lengths 5.095, 5.095, 16.058 Å; angles 90.00, 90.00, 120.00 degrees
Fractional coordinates of all 24 atoms:
Eu  0.333  0.667  0.250
Eu  0.667  0.333  0.750
Mg  0.333  0.667  0.031
Mg  0.333  0.667  0.469
Mg  0.667  0.333  0.531
Mg  0.667  0.333  0.969
Cu  0.000  0.000  0.000
Cu  0.000  0.000  0.250
Cu  0.000  0.000  0.500
Cu  0.000  0.000  0.750
Cu  0.169  0.337  0.622
Cu  0.169  0.337  0.878
Cu  0.169  0.831  0.622
Cu  0.169  0.831  0.878
Cu  0.333  0.667  0.750
Cu  0.337  0.169  0.122
Cu  0.337  0.169  0.378
Cu  0.663  0.831  0.622
Cu  0.663  0.831  0.878
Cu  0.667  0.333  0.250
Cu  0.831  0.169  0.122
Cu  0.831  0.169  0.378
Cu  0.831  0.663  0.122
Cu  0.831  0.663  0.378

Output
calculated formation energy = -138 meV/atom
symmetry = P6_3/mmc

Entry 7:
Entry from Alexandria via LeMat-Bulk: Eu3MgCu after structural relaxation (GGA-PBE).

Cell lengths 5.704, 5.704, 5.704 Å; angles 90.00, 90.00, 90.00 degrees
Fractional coordinates of all 5 atoms:
Eu  0.000  0.000  0.500
Eu  0.000  0.500  0.000
Eu  0.500  0.000  0.000
Mg  0.500  0.500  0.500
Cu  0.000  0.000  0.000

Output
calculated formation energy = 57 meV/atom
symmetry = Pm-3m

Entry 8:
Entry from Alexandria via LeMat-Bulk: EuMgCu2 after structural relaxation (GGA-PBE).

Cell lengths 4.961, 4.961, 3.224 Å; angles 90.00, 90.00, 90.00 degrees
Fractional coordinates of all 4 atoms:
Eu  0.000  0.000  0.000
Mg  0.500  0.500  0.000
Cu  0.000  0.500  0.500
Cu  0.500  0.000  0.500

Output
calculated formation energy = 39 meV/atom
symmetry = P4/mmm

Entry 9:
Entry from Alexandria via LeMat-Bulk: EuMg3Cu after structural relaxation (GGA-PBE).

Cell lengths 5.011, 5.011, 5.011 Å; angles 90.00, 90.00, 90.00 degrees
Fractional coordinates of all 5 atoms:
Eu  0.000  0.000  0.000
Mg  0.000  0.500  0.500
Mg  0.500  0.000  0.500
Mg  0.500  0.500  0.000
Cu  0.500  0.500  0.500

Output
calculated formation energy = -25 meV/atom
symmetry = Pm-3m

Entry 10:
Entry from Alexandria via LeMat-Bulk: EuMgCu2 after structural relaxation (GGA-PBE).

Cell lengths 3.423, 3.423, 6.780 Å; angles 90.00, 90.00, 90.00 degrees
Fractional coordinates of all 4 atoms:
Eu  0.000  0.000  0.000
Mg  0.000  0.000  0.500
Cu  0.500  0.500  0.307
Cu  0.500  0.500  0.693

Output
calculated formation energy = -64 meV/atom
symmetry = P4/mmm

Entry 11:
Entry from Alexandria via LeMat-Bulk: EuMg2Cu after structural relaxation (GGA-PBE).

Cell lengths 3.440, 3.440, 28.503 Å; angles 90.00, 90.00, 120.00 degrees
Fractional coordinates of all 12 atoms:
Eu  0.000  0.000  0.000
Eu  0.333  0.667  0.667
Eu  0.667  0.333  0.333
Mg  0.000  0.000  0.230
Mg  0.000  0.000  0.770
Mg  0.333  0.667  0.437
Mg  0.333  0.667  0.897
Mg  0.667  0.333  0.103
Mg  0.667  0.333  0.563
Cu  0.000  0.000  0.500
Cu  0.333  0.667  0.167
Cu  0.667  0.333  0.833

Output
calculated formation energy = 124 meV/atom
symmetry = R-3m

Entry 12:
Entry from Alexandria via LeMat-Bulk: EuMgCu2 after structural relaxation (GGA-PBE).

Cell lengths 4.492, 4.492, 14.845 Å; angles 90.00, 90.00, 120.00 degrees
Fractional coordinates of all 12 atoms:
Eu  0.000  0.000  0.000
Eu  0.333  0.667  0.667
Eu  0.667  0.333  0.333
Mg  0.000  0.000  0.500
Mg  0.333  0.667  0.167
Mg  0.667  0.333  0.833
Cu  0.000  0.000  0.199
Cu  0.000  0.000  0.801
Cu  0.333  0.667  0.468
Cu  0.333  0.667  0.865
Cu  0.667  0.333  0.135
Cu  0.667  0.333  0.532

Output
calculated formation energy = -115 meV/atom
symmetry = R-3m

Entry 13:
Entry from Alexandria via LeMat-Bulk: EuMg2Cu after structural relaxation (GGA-PBE).

Cell lengths 3.347, 3.347, 8.226 Å; angles 90.00, 90.00, 90.00 degrees
Fractional coordinates of all 4 atoms:
Eu  0.000  0.000  0.000
Mg  0.500  0.500  0.319
Mg  0.500  0.500  0.681
Cu  0.000  0.000  0.500

Output
calculated formation energy = -18 meV/atom
symmetry = P4/mmm

Entry 14:
Entry from Alexandria via LeMat-Bulk: EuMgCuNi after structural relaxation (GGA-PBE).

Cell lengths 6.736, 6.736, 6.736 Å; angles 90.00, 90.00, 90.00 degrees
Fractional coordinates of all 16 atoms:
Eu  0.000  0.000  0.000
Eu  0.000  0.500  0.500
Eu  0.500  0.000  0.500
Eu  0.500  0.500  0.000
Mg  0.000  0.000  0.500
Mg  0.000  0.500  0.000
Mg  0.500  0.000  0.000
Mg  0.500  0.500  0.500
Cu  0.250  0.250  0.250
Cu  0.250  0.750  0.750
Cu  0.750  0.250  0.750
Cu  0.750  0.750  0.250
Ni  0.250  0.250  0.750
Ni  0.250  0.750  0.250
Ni  0.750  0.250  0.250
Ni  0.750  0.750  0.750

Output
calculated formation energy = -12 meV/atom
symmetry = F-43m

Entry 15:
Entry from Alexandria via LeMat-Bulk: EuMgCuPb after structural relaxation (GGA-PBE).

Cell lengths 7.283, 7.283, 7.283 Å; angles 90.00, 90.00, 90.00 degrees
Fractional coordinates of all 16 atoms:
Eu  0.000  0.000  0.000
Eu  0.000  0.500  0.500
Eu  0.500  0.000  0.500
Eu  0.500  0.500  0.000
Mg  0.000  0.000  0.500
Mg  0.000  0.500  0.000
Mg  0.500  0.000  0.000
Mg  0.500  0.500  0.500
Cu  0.250  0.250  0.250
Cu  0.250  0.750  0.750
Cu  0.750  0.250  0.750
Cu  0.750  0.750  0.250
Pb  0.250  0.250  0.750
Pb  0.250  0.750  0.250
Pb  0.750  0.250  0.250
Pb  0.750  0.750  0.750

Output
calculated formation energy = -170 meV/atom
symmetry = F-43m

Entry 16:
Entry from Alexandria via LeMat-Bulk: PmEuMgCu after structural relaxation (GGA-PBE).

Cell lengths 7.535, 7.535, 7.535 Å; angles 90.00, 90.00, 90.00 degrees
Fractional coordinates of all 16 atoms:
Pm  0.000  0.000  0.000
Pm  0.000  0.500  0.500
Pm  0.500  0.000  0.500
Pm  0.500  0.500  0.000
Eu  0.000  0.000  0.500
Eu  0.000  0.500  0.000
Eu  0.500  0.000  0.000
Eu  0.500  0.500  0.500
Mg  0.250  0.250  0.750
Mg  0.250  0.750  0.250
Mg  0.750  0.250  0.250
Mg  0.750  0.750  0.750
Cu  0.250  0.250  0.250
Cu  0.250  0.750  0.750
Cu  0.750  0.250  0.750
Cu  0.750  0.750  0.250

Output
calculated formation energy = -6 meV/atom
symmetry = F-43m

Entry 17:
Entry from Alexandria via LeMat-Bulk: PrEuMgCu after structural relaxation (GGA-PBE).

Cell lengths 7.589, 7.589, 7.589 Å; angles 90.00, 90.00, 90.00 degrees
Fractional coordinates of all 16 atoms:
Pr  0.000  0.000  0.000
Pr  0.000  0.500  0.500
Pr  0.500  0.000  0.500
Pr  0.500  0.500  0.000
Eu  0.000  0.000  0.500
Eu  0.000  0.500  0.000
Eu  0.500  0.000  0.000
Eu  0.500  0.500  0.500
Mg  0.250  0.250  0.750
Mg  0.250  0.750  0.250
Mg  0.750  0.250  0.250
Mg  0.750  0.750  0.750
Cu  0.250  0.250  0.250
Cu  0.250  0.750  0.750
Cu  0.750  0.250  0.750
Cu  0.750  0.750  0.250

Output
calculated formation energy = -4 meV/atom
symmetry = F-43m

Entry 18:
Entry from Alexandria via LeMat-Bulk: EuMgCuPt after structural relaxation (GGA-PBE).

Cell lengths 6.856, 6.856, 6.856 Å; angles 90.00, 90.00, 90.00 degrees
Fractional coordinates of all 16 atoms:
Eu  0.000  0.000  0.000
Eu  0.000  0.500  0.500
Eu  0.500  0.000  0.500
Eu  0.500  0.500  0.000
Mg  0.000  0.000  0.500
Mg  0.000  0.500  0.000
Mg  0.500  0.000  0.000
Mg  0.500  0.500  0.500
Cu  0.250  0.250  0.750
Cu  0.250  0.750  0.250
Cu  0.750  0.250  0.250
Cu  0.750  0.750  0.750
Pt  0.250  0.250  0.250
Pt  0.250  0.750  0.750
Pt  0.750  0.250  0.750
Pt  0.750  0.750  0.250

Output
calculated formation energy = -429 meV/atom
symmetry = F-43m

Entry 19:
Entry from Alexandria via LeMat-Bulk: EuMgCuSn after structural relaxation (GGA-PBE).

Cell lengths 7.171, 7.171, 7.171 Å; angles 90.00, 90.00, 90.00 degrees
Fractional coordinates of all 16 atoms:
Eu  0.000  0.000  0.000
Eu  0.000  0.500  0.500
Eu  0.500  0.000  0.500
Eu  0.500  0.500  0.000
Mg  0.000  0.000  0.500
Mg  0.000  0.500  0.000
Mg  0.500  0.000  0.000
Mg  0.500  0.500  0.500
Cu  0.250  0.250  0.250
Cu  0.250  0.750  0.750
Cu  0.750  0.250  0.750
Cu  0.750  0.750  0.250
Sn  0.250  0.250  0.750
Sn  0.250  0.750  0.250
Sn  0.750  0.250  0.250
Sn  0.750  0.750  0.750

Output
calculated formation energy = -260 meV/atom
symmetry = F-43m

Entry 20:
Entry from Alexandria via LeMat-Bulk: TbEuMgCu after structural relaxation (GGA-PBE).

Cell lengths 7.449, 7.449, 7.449 Å; angles 90.00, 90.00, 90.00 degrees
Fractional coordinates of all 16 atoms:
Tb  0.000  0.000  0.000
Tb  0.000  0.500  0.500
Tb  0.500  0.000  0.500
Tb  0.500  0.500  0.000
Eu  0.000  0.000  0.500
Eu  0.000  0.500  0.000
Eu  0.500  0.000  0.000
Eu  0.500  0.500  0.500
Mg  0.250  0.250  0.750
Mg  0.250  0.750  0.250
Mg  0.750  0.250  0.250
Mg  0.750  0.750  0.750
Cu  0.250  0.250  0.250
Cu  0.250  0.750  0.750
Cu  0.750  0.250  0.750
Cu  0.750  0.750  0.250

Output
calculated formation energy = -8 meV/atom
symmetry = F-43m

Entry 21:
Entry from Alexandria via LeMat-Bulk: EuMgTlCu after structural relaxation (GGA-PBE).

Cell lengths 7.232, 7.232, 7.232 Å; angles 90.00, 90.00, 90.00 degrees
Fractional coordinates of all 16 atoms:
Eu  0.000  0.000  0.000
Eu  0.000  0.500  0.500
Eu  0.500  0.000  0.500
Eu  0.500  0.500  0.000
Mg  0.000  0.000  0.500
Mg  0.000  0.500  0.000
Mg  0.500  0.000  0.000
Mg  0.500  0.500  0.500
Tl  0.250  0.250  0.250
Tl  0.250  0.750  0.750
Tl  0.750  0.250  0.750
Tl  0.750  0.750  0.250
Cu  0.250  0.250  0.750
Cu  0.250  0.750  0.250
Cu  0.750  0.250  0.250
Cu  0.750  0.750  0.750

Output
calculated formation energy = -128 meV/atom
symmetry = F-43m

Entry 22:
Entry from Alexandria via LeMat-Bulk: EuMgZnCu after structural relaxation (GGA-PBE).

Cell lengths 6.955, 6.955, 6.955 Å; angles 90.00, 90.00, 90.00 degrees
Fractional coordinates of all 16 atoms:
Eu  0.000  0.000  0.000
Eu  0.000  0.500  0.500
Eu  0.500  0.000  0.500
Eu  0.500  0.500  0.000
Mg  0.000  0.000  0.500
Mg  0.000  0.500  0.000
Mg  0.500  0.000  0.000
Mg  0.500  0.500  0.500
Zn  0.250  0.250  0.750
Zn  0.250  0.750  0.250
Zn  0.750  0.250  0.250
Zn  0.750  0.750  0.750
Cu  0.250  0.250  0.250
Cu  0.250  0.750  0.750
Cu  0.750  0.250  0.750
Cu  0.750  0.750  0.250

Output
calculated formation energy = -120 meV/atom
symmetry = F-43m

Number 1: total magnetic moment 7.04 μB/f.u.. Number 2: total magnetic moment 7.00 μB/f.u.. Number 3: total magnetic moment 7.20 μB/f.u.. Number 4: total magnetic moment 6.82 μB/f.u.. Number 5: total magnetic moment 7.09 μB/f.u.. Number 6: total magnetic moment 7.16 μB/f.u.. Number 7: total magnetic moment 22.12 μB/f.u.. Number 8: total magnetic moment 7.31 μB/f.u.. Number 9: total magnetic moment 7.69 μB/f.u.. Number 10: total magnetic moment 7.21 μB/f.u.. Number 11: total magnetic moment 7.49 μB/f.u.. Number 12: total magnetic moment 7.23 μB/f.u.. Number 13: total magnetic moment 7.38 μB/f.u.. Number 14: total magnetic moment 6.86 μB/f.u.. Number 15: total magnetic moment 6.91 μB/f.u.. Number 16: total magnetic moment 7.27 μB/f.u.. Number 17: total magnetic moment 7.39 μB/f.u.. Number 18: total magnetic moment 6.89 μB/f.u.. Number 19: total magnetic moment 6.93 μB/f.u.. Number 20: total magnetic moment 7.19 μB/f.u.. Number 21: total magnetic moment 7.02 μB/f.u.. Number 22: total magnetic moment 7.39 μB/f.u..